Density functional theory data (GGA-PBEsol) for OsPdSeBr2 after structural relaxation.

Summary:
The calculation puts the spin magnetization at 0.8229 μB/atom. As for the energy: -3.81 eV per atom. As for the density of states at the Fermi level: 6.36 states/eV/cell. The calculation puts the uncorrected formation energy at 1.35 eV/atom. The space group is P4/mmm (123).

The structure in POSCAR format:
```
OsPdSeBr2
1.0
4.8654 0.0000 0.0000
0.0000 4.8654 0.0000
0.0000 0.0000 4.9900
Os Br Pd Se
1 2 1 1
Cartesian
2.4327 2.4327 2.4950 Os
0.0000 2.4327 0.0000 Br
2.4327 0.0000 0.0000 Br
0.0000 0.0000 0.0000 Pd
0.0000 0.0000 2.4950 Se
```